! In3GaPt12 | Alexandria via LeMat-Bulk | PBE-GGA | relaxed; values from VASP
&SYSTEM
  ibrav = 0, nat = 16, ntyp = 3
/
ATOMIC_SPECIES
In 114.82 In.upf
Ga 69.72 Ga.upf
Pt 195.08 Pt.upf
ATOMIC_POSITIONS crystal
In 0.0000 0.0000 0.2465
In 0.0000 0.0000 0.5000
In 0.0000 0.0000 0.7535
Ga 0.0000 0.0000 0.0000
Pt 0.5000 0.5000 0.0000
Pt 0.5000 0.5000 0.2458
Pt 0.5000 0.5000 0.5000
Pt 0.5000 0.5000 0.7542
Pt 0.5000 0.0000 0.1183
Pt 0.5000 0.0000 0.3732
Pt 0.5000 0.0000 0.6268
Pt 0.5000 0.0000 0.8817
Pt 0.0000 0.5000 0.1183
Pt 0.0000 0.5000 0.3732
Pt 0.0000 0.5000 0.6268
Pt 0.0000 0.5000 0.8817
CELL_PARAMETERS angstrom
4.0299 0.0000 0.0000
0.0000 4.0299 0.0000
0.0000 0.0000 16.0552
! size of the total moment = 0.00 μB per cell
! formation energy from the elements = -0.39 eV per atom
! calculated volume = 16.30 A^3/atom

---

! In3GaPt | Alexandria via LeMat-Bulk | PBE-GGA | relaxed; values from VASP
&SYSTEM
  ibrav = 0, nat = 10, ntyp = 3
/
ATOMIC_SPECIES
In 114.82 In.upf
Ga 69.72 Ga.upf
Pt 195.08 Pt.upf
ATOMIC_POSITIONS crystal
In 0.8250 0.0083 0.2237
In 0.2154 0.3987 0.2237
In 0.7846 0.6013 0.7763
In 0.7497 0.4507 0.2004
In 0.1750 0.9917 0.7763
In 0.2503 0.5493 0.7996
Ga 0.7059 0.0625 0.7684
Ga 0.2941 0.9375 0.2316
Pt 0.6198 0.7652 0.3849
Pt 0.3802 0.2348 0.6151
CELL_PARAMETERS angstrom
-6.3642 2.1569 -1.4795
-0.9047 -6.7899 0.6510
3.3549 1.8237 5.6223
! size of the total moment = 0.00 μB per cell
! relative energy among the computed polymorphs = 0.000 eV/atom
! formation energy from the elements = -0.23 eV per atom
! calculated volume = 23.49 A^3/atom

---

! InGaPt2 | Alexandria via LeMat-Bulk | PBE-GGA | relaxed; values from VASP
&SYSTEM
  ibrav = 0, nat = 4, ntyp = 3
/
ATOMIC_SPECIES
Ga 69.72 Ga.upf
Pt 195.08 Pt.upf
In 114.82 In.upf
ATOMIC_POSITIONS crystal
Ga 0.5000 0.5000 0.0000
Pt 0.0000 0.0000 0.7810
Pt 0.0000 0.0000 0.2190
In 0.5000 0.5000 0.5000
CELL_PARAMETERS angstrom
3.1408 0.0000 0.0000
0.0000 3.1408 0.0000
0.0000 0.0000 6.8054
! size of the total moment = 0.00 μB per cell
! formation energy from the elements = -0.45 eV per atom
! calculated volume = 16.78 A^3/atom

---

! InGaPt | Alexandria via LeMat-Bulk | PBE-GGA | relaxed; values from VASP
&SYSTEM
  ibrav = 0, nat = 12, ntyp = 3
/
ATOMIC_SPECIES
In 114.82 In.upf
Ga 69.72 Ga.upf
Pt 195.08 Pt.upf
ATOMIC_POSITIONS crystal
In 0.7500 0.0071 0.1233
In 0.2500 0.5071 0.3767
In 0.2500 0.9929 0.8767
In 0.7500 0.4929 0.6233
Ga 0.7500 0.5154 0.1294
Ga 0.2500 0.0154 0.3706
Ga 0.2500 0.4846 0.8706
Ga 0.7500 0.9846 0.6294
Pt 0.7500 0.7805 0.3799
Pt 0.2500 0.2805 0.1201
Pt 0.2500 0.2195 0.6201
Pt 0.7500 0.7195 0.8799
CELL_PARAMETERS angstrom
4.3410 0.0000 0.0000
0.0000 6.2548 0.0000
0.0000 0.0000 8.9925
! size of the total moment = 0.00 μB per cell
! formation energy from the elements = -0.50 eV per atom
! calculated volume = 20.35 A^3/atom